# AcPmErAg

AcPmErAg after structural relaxation (PBE-GGA, the Alexandria database).

Computed properties:
* SG: F-43m (216)
* energy of formation from the pure elements: 0.178 eV per atom

Unit cell a=5.5971 b=5.5971 c=5.5971 alpha=60.00 beta=60.00 gamma=60.00
Positions (direct):
Ac (0.0000, 0.0000, 0.0000)
Pm (0.7500, 0.7500, 0.7500)
Er (0.2500, 0.2500, 0.2500)
Ag (0.5000, 0.5000, 0.5000)

***

# Pu2AlZnPt6

Pu2AlZnPt6 after structural relaxation (PBE-GGA, the Alexandria database).

Computed properties:
* SG: C2/m (12)
* energy of formation from the pure elements: -0.624 eV per atom

Unit cell a=5.5754 b=5.5754 c=8.5219 alpha=109.05 beta=109.05 gamma=60.00
Positions (direct):
Pu (0.1995, 0.1995, 0.0991)
Pu (0.8005, 0.8005, 0.9009)
Al (0.5000, 0.5000, 0.0000)
Zn (0.0000, 0.0000, 0.5000)
Pt (0.2446, 0.7476, 0.2406)
Pt (0.2525, 0.2525, 0.7592)
Pt (0.2524, 0.7554, 0.7594)
Pt (0.7476, 0.2446, 0.2406)
Pt (0.7475, 0.7475, 0.2408)
Pt (0.7554, 0.2524, 0.7594)

***

# K5Ag

K5Ag after structural relaxation (PBE-GGA, the Alexandria database).

Computed properties:
* energy above the most stable polymorph in this dataset: 256.4 meV per atom
* SG: P6/mmm (191)
* energy of formation from the pure elements: 0.283 eV per atom

Unit cell a=7.9038 b=7.9038 c=7.6191 alpha=90.00 beta=90.00 gamma=120.00
Positions (direct):
K (0.0000, 0.5000, 0.0000)
K (0.3333, 0.6667, 0.5000)
K (0.5000, 0.0000, 0.0000)
K (0.5000, 0.5000, 0.0000)
K (0.6667, 0.3333, 0.5000)
Ag (0.0000, 0.0000, 0.5000)

***

# CsYP3

CsYP3 after structural relaxation (PBE-GGA, the Alexandria database).

Computed properties:
* energy above the most stable polymorph in this dataset: 0.0 meV per atom
* SG: Pm-3m (221)
* energy of formation from the pure elements: 0.083 eV per atom

Unit cell a=5.4245 b=5.4245 c=5.4245 alpha=90.00 beta=90.00 gamma=90.00
Positions (direct):
Cs (0.0000, 0.0000, 0.0000)
Y (0.5000, 0.5000, 0.5000)
P (0.0000, 0.5000, 0.5000)
P (0.5000, 0.0000, 0.5000)
P (0.5000, 0.5000, 0.0000)

***

# Ce12CdIr6

Ce12CdIr6 after structural relaxation (PBE-GGA, the Alexandria database).

Computed properties:
* SG: R-3m (166)
* energy of formation from the pure elements: -0.362 eV per atom

Unit cell a=8.3550 b=8.3550 c=8.3550 alpha=105.98 beta=105.98 gamma=105.98
Positions (direct):
Ce (0.0000, 0.3879, 0.6121)
Ce (0.0000, 0.6121, 0.3879)
Ce (0.0836, 0.0836, 0.3444)
Ce (0.0836, 0.3444, 0.0836)
Ce (0.3444, 0.0836, 0.0836)
Ce (0.3879, 0.0000, 0.6121)
Ce (0.3879, 0.6121, 0.0000)
Ce (0.6121, 0.0000, 0.3879)
Ce (0.6121, 0.3879, 0.0000)
Ce (0.6556, 0.9164, 0.9164)
Ce (0.9164, 0.6556, 0.9164)
Ce (0.9164, 0.9164, 0.6556)
Cd (0.5000, 0.5000, 0.5000)
Ir (0.2035, 0.7791, 0.7791)
Ir (0.2209, 0.2209, 0.7965)
Ir (0.2209, 0.7965, 0.2209)
Ir (0.7791, 0.2035, 0.7791)
Ir (0.7791, 0.7791, 0.2035)
Ir (0.7965, 0.2209, 0.2209)

***

# BeCoRu

BeCoRu after structural relaxation (PBE-GGA, the Alexandria database).

Computed properties:
* energy above the most stable polymorph in this dataset: 277.5 meV per atom
* SG: Fmm2 (42)
* energy of formation from the pure elements: 0.159 eV per atom

Unit cell a=6.0729 b=5.8777 c=2.5389 alpha=82.08 beta=73.46 gamma=24.46
Positions (direct):
Be (0.0000, 0.0000, 0.0000)
Co (0.6508, 0.6508, 0.3492)
Ru (0.3376, 0.3376, 0.6624)

***

# Li2Ce3ErSe6

Li2Ce3ErSe6 after structural relaxation (PBE-GGA, the Alexandria database).

Computed properties:
* SG: C2/m (12)
* raw formation energy: -1.67 eV/atom

Unit cell a=7.1387 b=7.1387 c=7.1216 alpha=99.58 beta=99.58 gamma=120.03
Positions (direct):
Li (0.1663, 0.8337, 0.0000)
Li (0.8337, 0.1663, 0.0000)
Ce (0.0000, 0.0000, 0.5000)
Ce (0.3319, 0.6681, 0.5000)
Ce (0.6681, 0.3319, 0.5000)
Er (0.5000, 0.5000, 0.0000)
Se (0.0880, 0.4223, 0.7679)
Se (0.2440, 0.2440, 0.2342)
Se (0.4223, 0.0880, 0.7679)
Se (0.5777, 0.9120, 0.2321)
Se (0.7560, 0.7560, 0.7658)
Se (0.9120, 0.5777, 0.2321)

***

# KNa2O

KNa2O after structural relaxation (PBE-GGA, the Alexandria database).

Computed properties:
* SG: P2_1/m (11)
* raw formation energy: -0.76 eV/atom

Unit cell a=3.4350 b=12.1082 c=5.4068 alpha=90.00 beta=107.16 gamma=90.00
Positions (direct):
K (0.1083, 0.2500, 0.2376)
K (0.8917, 0.7500, 0.7624)
Na (0.3663, 0.1228, 0.7318)
Na (0.3663, 0.3772, 0.7318)
Na (0.6337, 0.6228, 0.2682)
Na (0.6337, 0.8772, 0.2682)
O (0.1611, 0.7500, 0.3217)
O (0.8389, 0.2500, 0.6783)

***

# CoTcPt2

CoTcPt2 after structural relaxation (PBE-GGA, the Alexandria database).

Computed properties:
* energy above the most stable polymorph in this dataset: 0.0 meV per atom
* SG: P4/mmm (123)
* energy of formation from the pure elements: -0.101 eV per atom

Unit cell a=2.7224 b=2.7224 c=7.6720 alpha=90.00 beta=90.00 gamma=90.00
Positions (direct):
Co (0.0000, 0.0000, 0.0000)
Tc (0.0000, 0.0000, 0.5000)
Pt (0.5000, 0.5000, 0.2434)
Pt (0.5000, 0.5000, 0.7566)

***

# Dy3C

Dy3C after structural relaxation (PBE-GGA, the Alexandria database).

Computed properties:
* SG: Imm2 (44)
* energy of formation from the pure elements: 0.037 eV per atom

Unit cell a=6.0475 b=6.0475 c=6.0475 alpha=147.88 beta=69.23 gamma=120.51
Positions (direct):
Dy (0.0000, 0.0000, 0.0000)
Dy (0.3801, 0.5448, 0.8353)
Dy (0.7095, 0.5448, 0.1647)
C (0.7047, 0.2047, 0.5000)

***

# FeSb2Pd2

FeSb2Pd2 after structural relaxation (PBE-GGA, the Alexandria database).

Computed properties:
* energy above the most stable polymorph in this dataset: 0.0 meV per atom
* SG: P4/mbm (127)
* raw formation energy: 0.02 eV/atom

Unit cell a=7.0367 b=7.0367 c=3.8804 alpha=90.00 beta=90.00 gamma=90.00
Positions (direct):
Fe (0.0000, 0.0000, 0.0000)
Fe (0.5000, 0.5000, 0.0000)
Sb (0.1694, 0.3306, 0.5000)
Sb (0.3306, 0.8306, 0.5000)
Sb (0.6694, 0.1694, 0.5000)
Sb (0.8306, 0.6694, 0.5000)
Pd (0.1393, 0.6393, 0.0000)
Pd (0.3607, 0.1393, 0.0000)
Pd (0.6393, 0.8607, 0.0000)
Pd (0.8607, 0.3607, 0.0000)

***

# Sc3CdNi

Sc3CdNi after structural relaxation (PBE-GGA, the Alexandria database).

Computed properties:
* energy above the most stable polymorph in this dataset: 0.0 meV per atom
* SG: Pm-3m (221)
* energy of formation from the pure elements: -0.092 eV per atom

Unit cell a=4.8890 b=4.8890 c=4.8890 alpha=90.00 beta=90.00 gamma=90.00
Positions (direct):
Sc (0.0000, 0.0000, 0.5000)
Sc (0.0000, 0.5000, 0.0000)
Sc (0.5000, 0.0000, 0.0000)
Cd (0.5000, 0.5000, 0.5000)
Ni (0.0000, 0.0000, 0.0000)